DyHfSb2 | PBE | relaxed

As for the energy above the most stable polymorph in this dataset: 0.0000 eV per atom. As for the uncorrected formation energy: -0.69 eV per atom. For the total energy, the calculation gives -76.73 eV/cell.

It has space group R3m (No. 160, hexagonal axes), with a = 4.1429 Å, b = 4.1429 Å, c = 21.9365 Å, α = 90.00°, β = 90.00° and γ = 120.00°. The asymmetric unit holds Dy at (0.0000, 0.0000, 0.0000), Hf at (0.0000, 0.0000, 0.8282), Sb at (0.0000, 0.0000, 0.4176) and Sb at (0.0000, 0.0000, 0.5755).